Computed, not measured: an optimized crystal structure of SrCaGeC2 at the PBE level of DFT.

a = 4.4518 Å, b = 4.4518 Å, c = 5.0143 Å
α = 90.00°, β = 90.00°, γ = 90.00°
Closest atoms and distances in Å follow each position.
Space group P4/mmm (No. 123)
Unique sites:
Sr  0.0000  0.0000  0.0000 (multiplicity 1)  4 Ca 3.15, 8 C 3.35
Ca  0.5000  0.5000  0.0000 (multiplicity 1)  2 Ge 2.51
Ge  0.5000  0.5000  0.5000 (multiplicity 1)  4 C 2.23
C  0.0000  0.5000  0.5000 (multiplicity 2)  2 Ge 2.23

Properties
uncorrected energy: -18.3 eV/cell
energy relative to the elements: 1.68 eV/atom
calculated volume: 99.4 Å³/cell